Record 1
The following is a PBE-GGA calculation of a relaxed SrTl4Sn crystal, from Alexandria via LeMat-Bulk.

Summary:
- Energy relative to the lowest polymorph listed for this composition: 138 meV per atom
- Energy relative to the elements: -0.042 eV/atom
- Final energy: -2.567 eV per atom
- Symmetry: Pmmm (47)

Structure (POSCAR):
```
SrTl4Sn
1.0
4.7693 0.0000 0.0000
0.0000 4.7940 0.0000
0.0000 0.0000 9.3245
Sr Tl Sn
1 4 1
direct
0.0000 0.0000 0.0000 Sr
0.0000 0.5000 0.2778 Tl
0.0000 0.5000 0.7222 Tl
0.5000 0.0000 0.2790 Tl
0.5000 0.0000 0.7210 Tl
0.5000 0.5000 0.5000 Sn
```

***

Record 2
The following is a PBE-GGA calculation of a relaxed Pm3Tm2Ge4 crystal, from Alexandria via LeMat-Bulk.

Summary:
- Energy relative to the elements: -0.704 eV/atom
- Final energy: -5.333 eV per atom
- Symmetry: C2/m (12)

Structure (POSCAR):
```
Pm3Tm2Ge4
1.0
5.7350 -2.2138 0.0000
5.7350 2.2138 0.0000
-1.5832 0.0000 9.3679
Pm Tm Ge
3 2 4
direct
0.0000 0.0000 0.0000 Pm
0.3805 0.3805 0.6022 Pm
0.6195 0.6195 0.3978 Pm
0.3169 0.3169 0.1893 Tm
0.6831 0.6831 0.8107 Tm
0.0898 0.0898 0.6180 Ge
0.3404 0.3404 0.8931 Ge
0.6596 0.6596 0.1069 Ge
0.9102 0.9102 0.3820 Ge
```

***

final energy of number 1 (SrTl4Sn)? -2.567 eV per atom